(1)
Below is a geometry-optimized Sr2ZrZn2O6 structure, with properties calculated at the PBE-GGA level.

```
Sr2ZrZn2O6
1.0
-5.856 0.678 -1.140
-3.532 -4.825 -0.537
-4.160 -1.227 4.829
O Zr Sr Zn
6 1 2 2
Cartesian
-5.338 -1.903 3.201
-7.245 -4.508 2.911
-8.499 -1.537 2.586
-8.210 -3.472 -0.049
-6.303 -0.867 0.241
-5.049 -3.838 0.566
0.000 0.000 0.000
-3.525 -1.323 1.508
-10.023 -4.052 1.644
-6.519 -2.726 0.244
-7.029 -2.649 2.908
```

Computed properties:
**Final energy**: -6.3282 eV/atom



(2)
Below is a geometry-optimized Sr4Zr3O10 structure, with properties calculated at the PBE-GGA level.

```
Sr4Zr3O10
1.0
-0.085 -2.239 -3.545
-3.264 -2.191 1.461
-7.588 12.029 -4.933
Sr Zr O
4 3 10
Cartesian
-5.478 5.805 -3.534
-7.968 8.444 -5.141
-2.968 -0.844 -1.877
-5.459 1.795 -3.484
-8.283 4.788 -5.306
-2.653 2.812 -1.712
0.000 0.000 0.000
-4.256 1.685 -0.962
-6.680 5.915 -6.055
-6.968 3.395 -4.458
-2.666 1.661 -3.466
-9.620 6.205 -6.168
-1.317 1.395 -0.849
-1.632 -1.095 0.731
-3.968 4.205 -2.560
-0.042 -1.119 -1.773
-8.270 5.939 -3.552
```

Computed properties:
**Energy above the lowest structure with this stoichiometry**: 0.040 eV per atom
**Final energy**: -7.9626 eV/atom



(3)
Below is a geometry-optimized SrZrO3 structure, with properties calculated at the PBE-GGA level.

```
SrZrO3
1.0
4.779 0.000 0.000
0.000 4.779 0.000
2.390 2.390 6.903
O Zr Sr
6 2 2
Cartesian
2.390 2.390 3.020
3.512 4.779 1.488
1.268 4.779 1.488
2.390 5.901 5.415
4.779 4.779 3.882
2.390 3.657 5.415
2.390 4.779 3.451
0.000 0.000 0.000
4.779 2.390 4.939
4.779 2.390 1.964
```

Computed properties:
**Final energy**: -7.3422 eV/atom



(4)
Below is a geometry-optimized SrZrO3 structure, with properties calculated at the PBE-GGA level.

```
SrZrO3
1.0
-7.779 5.478 -13.759
-4.897 -0.644 -4.962
1.970 0.783 6.673
Zr O Sr
2 6 2
Cartesian
-0.754 2.687 1.857
-9.953 2.930 -13.906
-4.114 3.512 -3.962
-10.405 4.638 -14.819
-0.301 0.980 2.770
-4.772 1.242 -4.902
-6.592 2.105 -8.087
-5.934 4.376 -7.147
-4.809 5.551 -5.316
-5.898 0.066 -6.733
```

Computed properties:
**Final energy**: -8.0404 eV/atom



(5)
Below is a geometry-optimized SrZrO3 structure, with properties calculated at the PBE-GGA level.

```
SrZrO3
1.0
-2.990 -1.614 -1.615
3.335 -0.053 -1.741
2.930 -11.392 5.959
Zr Sr O
2 2 6
Cartesian
-0.150 -3.941 -0.167
3.424 -9.117 2.771
0.000 0.000 0.000
1.465 -5.696 2.979
2.197 -8.544 4.469
-0.596 -2.206 -1.075
3.870 -10.853 3.678
0.732 -2.848 1.490
0.297 -5.677 0.741
2.977 -7.382 1.863
```

Computed properties:
**Final energy**: -8.0277 eV/atom



(6)
Below is a geometry-optimized SrZrO3 structure, with properties calculated at the PBE-GGA level.

```
SrZrO3
1.0
-0.036 3.812 -0.101
-0.695 -1.827 3.274
12.065 0.183 2.662
Zr O Sr
2 6 2
Cartesian
0.000 0.000 0.000
6.033 0.092 1.331
6.172 0.154 3.615
9.049 0.137 1.996
3.016 0.046 0.665
5.164 2.014 2.219
10.977 0.227 4.675
0.358 1.941 1.159
8.574 0.190 4.145
2.761 1.978 1.689
```

Computed properties:
**Final energy**: -7.5708 eV/atom



(7)
Below is a geometry-optimized SrZrO3 structure, with properties calculated at the PBE-GGA level.

```
SrZrO3
1.0
-7.422 1.188 -0.265
5.998 -4.141 -1.855
-0.606 -2.820 4.335
O Sr Zr
6 2 2
Cartesian
-3.893 -3.427 1.917
-3.150 -1.885 3.024
1.120 -3.887 -0.809
1.863 -2.346 0.298
0.000 0.000 0.000
-0.303 -1.410 2.167
3.601 -3.954 -0.505
-5.631 -1.818 2.720
-1.888 -3.305 2.277
-0.142 -2.468 -0.062
```

Computed properties:
**Final energy**: -7.0390 eV/atom



(8)
Below is a geometry-optimized SrZrO3 structure, with properties calculated at the PBE-GGA level.

```
SrZrO3
1.0
4.068 0.000 -0.293
0.000 6.269 0.000
-1.595 0.000 6.251
O Zr Sr
6 2 2
Cartesian
3.269 4.702 2.823
1.123 0.059 1.412
1.123 3.075 1.412
-0.797 1.567 3.134
1.349 3.194 4.545
1.349 6.210 4.545
1.213 4.702 2.664
1.259 1.567 3.293
3.099 1.567 0.459
-0.627 4.702 5.498
```

Computed properties:
**Final energy**: -8.1042 eV/atom



(9)
Below is a geometry-optimized SrZrO3 structure, with properties calculated at the PBE-GGA level.

```
SrZrO3
1.0
4.133 0.000 0.000
0.000 5.844 0.000
0.000 -2.922 6.243
O Zr Sr
6 2 2
Cartesian
2.067 1.430 0.000
0.000 0.000 1.861
0.000 2.922 4.381
2.067 4.414 0.000
2.067 1.461 3.121
2.067 -1.461 3.121
2.067 0.000 1.564
2.067 2.922 4.679
0.000 2.922 1.884
0.000 0.000 4.358
```

Computed properties:
**Final energy**: -8.1286 eV/atom



(10)
Below is a geometry-optimized SrZrO3 structure, with properties calculated at the PBE-GGA level.

```
SrZrO3
1.0
-1.748 -0.323 -2.980
4.404 -2.359 -2.328
-0.610 -6.130 5.059
O Zr Sr
6 2 2
Cartesian
1.453 -2.149 -1.629
1.434 -5.767 -1.229
3.634 -3.317 -2.782
0.611 -3.045 0.981
0.593 -6.664 1.381
-1.588 -5.495 2.534
2.498 -7.317 2.354
-0.452 -1.496 -2.602
2.856 -4.106 -0.223
-0.810 -4.706 -0.025
```

Computed properties:
**Final energy**: -8.1382 eV/atom



(11)
Below is a geometry-optimized SrZrO3 structure, with properties calculated at the PBE-GGA level.

```
SrZrO3
1.0
2.976 -7.909 0.000
2.976 7.909 0.000
0.000 0.000 5.139
Zr Sr O
2 2 6
Cartesian
2.976 6.428 1.285
2.976 -6.428 3.854
2.976 -3.139 3.854
2.976 3.139 1.285
1.466 2.812 3.854
0.000 0.000 0.000
1.466 -2.812 1.285
4.487 2.812 3.854
0.000 0.000 2.570
4.487 -2.812 1.285
```

Computed properties:
**Final energy**: -7.7460 eV/atom



(12)
Below is a geometry-optimized SrZrO3 structure, with properties calculated at the PBE-GGA level.

```
SrZrO3
1.0
12.964 0.000 0.639
5.202 5.072 -2.187
-5.202 5.072 2.187
O Sr Zr
12 4 4
Cartesian
7.655 2.854 0.094
4.852 1.106 0.281
11.334 3.966 0.601
5.309 7.289 0.546
11.788 0.766 0.753
7.658 5.838 0.206
11.791 7.926 0.865
5.306 4.305 0.434
1.176 9.377 -0.114
1.173 2.217 -0.226
1.630 6.177 0.039
8.113 9.037 0.358
9.286 1.088 0.440
10.160 6.160 0.519
3.678 9.055 0.200
2.804 3.983 0.120
0.640 7.379 1.253
12.324 2.764 -0.614
7.122 4.211 1.573
5.842 5.933 -0.934
```

Computed properties:
**Final energy**: -8.1749 eV/atom



(13)
Below is a geometry-optimized SrZrO3 structure, with properties calculated at the PBE-GGA level.

```
SrZrO3
1.0
3.274 0.000 0.000
0.000 3.390 -5.223
0.000 3.390 5.223
O Sr Zr
3 1 1
Cartesian
1.637 4.704 0.445
0.000 3.390 2.833
1.637 2.077 0.445
1.637 3.390 4.491
0.000 3.390 0.894
```

Computed properties:
**Final energy**: -7.9493 eV/atom



(14)
Below is a geometry-optimized SrZrO3 structure, with properties calculated at the PBE-GGA level.

```
SrZrO3
1.0
5.936 0.000 0.000
0.000 10.016 0.000
0.000 0.000 5.752
Zr O Sr
4 12 4
Cartesian
0.098 7.512 0.110
5.839 2.504 5.642
3.066 7.512 2.766
2.871 2.504 2.986
5.049 0.988 0.811
0.887 5.996 4.941
4.072 7.512 0.978
1.864 2.504 4.774
5.049 4.020 0.811
2.081 4.020 2.065
0.887 9.027 4.941
3.855 5.996 3.687
1.104 7.512 1.898
2.081 0.988 2.065
3.855 9.027 3.687
4.832 2.504 3.854
2.968 0.000 0.000
0.000 0.000 2.876
2.968 5.008 0.000
0.000 5.008 2.876
```

Computed properties:
**Final energy**: -8.0045 eV/atom



(15)
Below is a geometry-optimized Sr4Zr3O10 structure, with properties calculated at the PBE-GGA level.

```
Sr4Zr3O10
1.0
5.872 0.000 0.000
0.000 5.911 0.000
0.000 0.000 29.374
O Zr Sr
40 12 16
Cartesian
3.334 2.813 6.234
4.631 4.209 24.922
4.626 4.659 18.527
1.694 4.209 19.139
2.496 3.076 2.071
1.692 4.209 14.361
1.242 1.702 4.452
5.474 3.098 20.921
0.398 0.143 23.140
5.433 3.076 12.616
1.244 1.253 14.361
4.629 4.658 15.013
0.440 2.835 16.758
3.376 0.121 12.616
1.246 1.252 10.847
2.538 5.768 8.453
4.178 1.253 24.922
0.398 2.813 8.453
4.180 1.702 15.013
3.376 2.835 27.303
4.629 4.209 0.326
1.244 1.702 29.048
4.180 1.253 0.326
2.496 5.790 16.758
0.440 0.121 2.071
4.626 4.207 3.840
1.694 4.658 4.452
2.538 3.098 23.140
1.242 1.253 19.139
4.178 1.702 10.235
5.433 5.790 27.303
4.631 4.658 10.235
4.182 1.704 18.527
5.474 5.768 6.234
3.334 0.143 20.921
1.690 4.207 10.847
1.690 4.659 25.534
1.246 1.704 25.534
4.182 1.252 3.840
1.692 4.658 29.048
0.006 2.945 18.860
2.936 2.956 0.000
2.930 5.901 18.860
5.867 5.901 25.202
0.000 0.000 0.000
2.942 0.010 10.515
0.006 0.010 4.172
0.000 2.956 14.687
5.867 2.966 10.515
2.942 2.945 25.202
2.936 0.000 14.687
2.930 2.966 4.172
2.878 5.712 23.315
5.840 0.190 16.750
5.840 2.765 2.062
2.968 3.146 16.750
2.878 3.155 8.628
2.968 5.721 2.062
0.058 0.199 8.628
5.814 3.155 6.059
5.814 5.712 20.746
2.995 0.199 6.059
2.904 2.765 12.625
0.058 2.756 23.315
0.032 3.146 27.312
2.995 2.756 20.746
2.904 0.190 27.312
0.032 5.721 12.625
```

Computed properties:
**Energy above the lowest structure with this stoichiometry**: 0.000 eV per atom
**Final energy**: -8.0030 eV/atom



(16)
Below is a geometry-optimized SrZrO3 structure, with properties calculated at the PBE-GGA level.

```
SrZrO3
1.0
-7.489 -11.955 3.129
-1.934 -5.712 -1.906
5.093 3.550 1.208
O Zr Sr
6 2 2
Cartesian
-3.271 -8.255 -0.082
-1.727 -5.833 -0.595
-4.692 -11.416 3.281
-1.059 -5.861 2.513
0.361 -2.700 -0.850
-2.604 -8.283 3.027
-8.493 -16.246 1.037
4.162 2.130 1.395
-4.689 -10.120 -0.721
0.358 -3.996 3.153
```

Computed properties:
**Final energy**: -8.1883 eV/atom



(17)
Below is a geometry-optimized SrZrO3 structure, with properties calculated at the PBE-GGA level.

```
SrZrO3
1.0
-5.953 -4.298 2.172
-1.456 -1.042 7.445
-6.131 3.288 3.199
Sr Zr O
4 4 12
Cartesian
-1.692 -0.257 1.602
-4.669 -2.406 2.688
-4.758 1.387 3.201
-2.420 -0.777 5.324
-5.397 -2.927 6.411
-7.734 -0.762 4.288
-8.462 -1.283 8.010
-5.486 0.866 6.924
-9.017 -1.020 5.969
-10.425 -3.364 10.969
-6.500 0.798 5.051
-12.402 -1.533 9.173
-7.907 -1.546 10.051
-10.500 -0.156 11.404
-4.522 -1.033 6.847
-7.040 -2.851 7.765
-9.809 -2.923 7.820
-7.115 0.358 8.200
-6.424 -2.410 4.616
-9.885 0.285 8.255
```

Computed properties:
**Final energy**: -7.9695 eV/atom



(18)
Below is a geometry-optimized SrZrO3 structure, with properties calculated at the PBE-GGA level.

```
SrZrO3
1.0
-0.467 -3.170 -1.699
2.379 1.012 -2.544
4.594 -2.456 3.320
Sr O Zr
1 3 1
Cartesian
0.687 -0.367 0.496
3.000 -0.462 0.037
1.577 -2.553 0.459
3.510 -1.876 2.536
3.538 -2.459 -0.255
```

Computed properties:
**Final energy**: -7.5233 eV/atom



| no. | raw formation energy (meV/atom) | Fermi-level density of states (states/eV per atom) |
| --- | --- | --- |
| 1 | -2309 | 0.000 |
| 2 | -3142 | 0.000 |
| 3 | -2321 | 0.000 |
| 4 | -3019 | 0.000 |
| 5 | -3007 | 0.000 |
| 6 | -2550 | 0.000 |
| 7 | -2018 | 0.370 |
| 8 | -3083 | 0.000 |
| 9 | -3108 | 0.000 |
| 10 | -3117 | 0.000 |
| 11 | -2725 | 0.000 |
| 12 | -3154 | 0.000 |
| 13 | -2928 | 0.000 |
| 14 | -2984 | 0.000 |
| 15 | -3182 | 0.000 |
| 16 | -3167 | 0.000 |
| 17 | -2949 | 0.067 |
| 18 | -2502 | 0.000 |